No. 1
# CeIn5Os | Alexandria | GGA-PBE | optimized geometry
# Energy = -4.589 eV/atom
# Magnetic moment = 0.841 μB/cell
# Energy of formation = -181 meV/atom
data_CeIn5Os
_cell_length_a 4.7345
_cell_length_b 4.7345
_cell_length_c 7.5210
_cell_angle_alpha 90.00
_cell_angle_beta 90.00
_cell_angle_gamma 90.00
_space_group_name_H-M_alt 'P 4/m m m'
_space_group_IT_number 123
_space_group_name_Hall '-P 4 2'
loop_
_atom_site_label
_atom_site_fract_x
_atom_site_fract_y
_atom_site_fract_z
Ce1 0.0000 0.0000 0.0000
In1 0.0000 0.5000 0.3040
In2 0.5000 0.5000 0.0000
Os1 0.0000 0.0000 0.5000

---

No. 2
# Ta2Tl2Fe | Alexandria | GGA-PBE | optimized geometry
# Energy = -6.017 eV/atom
# Distance to the lowest polymorph of the same formula = 64.40 kJ/mol of atoms
# Magnetic moment = 0.082 μB/cell
# Energy of formation = 1363 meV/atom
data_Ta2Tl2Fe
_cell_length_a 3.8642
_cell_length_b 3.8642
_cell_length_c 14.5849
_cell_angle_alpha 90.00
_cell_angle_beta 90.00
_cell_angle_gamma 90.00
_space_group_name_H-M_alt 'I 4/m m m'
_space_group_IT_number 139
_space_group_name_Hall '-I 4 2'
loop_
_atom_site_label
_atom_site_fract_x
_atom_site_fract_y
_atom_site_fract_z
Ta1 0.0000 0.0000 0.0832
Tl1 0.0000 0.5000 0.2500
Fe1 0.0000 0.0000 0.5000